[1]
The following is a DFT calculation (GGA-PBEsol) of a relaxed TiInI3 crystal.

Computed properties:
Total DFT energy (no corrections) = -2.904 eV per atom
Crystal system = cubic
SG = No. 221
Spin magnetization = 2.85 μB per formula unit
Fermi-level density of states = 5.4 states/eV per cell

POSCAR file:
```
TiInI3
1.0
5.8252 0.0000 0.0000
0.0000 5.8252 0.0000
0.0000 0.0000 5.8252
I Ti In
3 1 1
direct
0.0000 0.5000 0.0000
0.0000 0.0000 0.5000
0.5000 0.0000 0.0000
0.5000 0.5000 0.5000
0.0000 0.0000 0.0000
```

***

[2]
The following is a DFT calculation (GGA-PBEsol) of a relaxed Y3InI crystal.

Computed properties:
E above lowest polymorph = 0.000 eV per atom
Crystal system = cubic
SG = No. 221
Spin magnetization = 0.00 μB per formula unit
Fermi-level density of states = 4.8 states/eV per cell

POSCAR file:
```
Y3InI
1.0
-5.4000 0.5586 -0.8541
-0.9277 -4.6038 2.8541
-0.4254 2.9487 4.6181
I Y In
1 3 1
direct
0.0000 0.0000 0.0000
0.0000 0.5000 0.0000
0.0000 0.0000 0.5000
0.5000 0.0000 0.0000
0.5000 0.5000 0.5000
```

***

[3]
The following is a DFT calculation (GGA-PBEsol) of a relaxed ZrInI3 crystal.

Computed properties:
Total DFT energy (no corrections) = -3.827 eV per atom
Crystal system = cubic
SG = No. 221
Spin magnetization = 0.00 μB per formula unit
Fermi-level density of states = 3.4 states/eV per cell

POSCAR file:
```
ZrInI3
1.0
-0.8520 -4.5038 3.3323
3.7243 2.0627 3.7401
-4.1854 2.7523 2.6498
I Zr In
3 1 1
direct
0.0000 0.5000 0.0000
0.0000 0.0000 0.5000
0.5000 0.0000 0.0000
0.0000 0.0000 0.0000
0.5000 0.5000 0.5000
```

***

[4]
The following is a DFT calculation (GGA-PBEsol) of a relaxed Zr3InI crystal.

Computed properties:
Total DFT energy (no corrections) = -5.667 eV per atom
Crystal system = cubic
SG = No. 221
Spin magnetization = 0.00 μB per formula unit
Fermi-level density of states = 5.8 states/eV per cell

POSCAR file:
```
Zr3InI
1.0
5.1655 0.0000 0.0000
0.0000 5.1655 0.0000
0.0000 0.0000 5.1655
I Zr In
1 3 1
direct
0.0000 0.0000 0.0000
0.0000 0.5000 0.0000
0.0000 0.0000 0.5000
0.5000 0.0000 0.0000
0.5000 0.5000 0.5000
```

***

[5]
The following is a DFT calculation (GGA-PBEsol) of a relaxed IrI3 crystal.

Computed properties:
Total DFT energy (no corrections) = -3.912 eV per atom
Crystal system = monoclinic
SG = No. 12
Spin magnetization = 0.00 μB per formula unit

POSCAR file:
```
IrI3
1.0
6.8061 -0.0022 0.0139
-3.4015 5.8951 0.0139
-1.0307 -1.7840 6.4785
I Ir
6 2
direct
0.0782 0.4322 0.7722
0.9218 0.5678 0.2278
0.5678 0.9218 0.2278
0.4322 0.0782 0.7722
0.7856 0.7856 0.7714
0.2144 0.2144 0.2286
0.1666 0.8334 0.0000
0.8334 0.1666 0.0000
```

***

[6]
The following is a DFT calculation (GGA-PBEsol) of a relaxed K2NaIrI crystal.

Computed properties:
Total DFT energy (no corrections) = -2.489 eV per atom
Crystal system = tetragonal
SG = No. 123
Spin magnetization = 1.03 μB per formula unit
Fermi-level density of states = 2.3 states/eV per cell

POSCAR file:
```
K2NaIrI
1.0
-4.0440 -2.4703 -1.3485
3.2459 -5.3397 0.0478
-1.4855 -0.8492 6.0102
I Na K Ir
1 1 2 1
direct
0.5000 0.5000 0.5000
0.0000 0.0000 0.0000
0.0000 0.0000 0.5000
0.0000 0.5000 0.0000
0.5000 0.0000 0.0000
```

***

[7]
The following is a DFT calculation (GGA-PBEsol) of a relaxed LaIrI2 crystal.

Computed properties:
Total DFT energy (no corrections) = -4.697 eV per atom
Crystal system = cubic
SG = No. 225
Spin magnetization = 0.01 μB per formula unit
Fermi-level density of states = 5.1 states/eV per cell

POSCAR file:
```
LaIrI2
1.0
-3.8020 1.8964 3.0101
-3.3306 -3.2459 2.3417
0.1957 -0.6531 5.1621
I Ir La
2 1 1
direct
0.2500 0.2500 0.2500
0.7500 0.7500 0.7500
0.5000 0.5000 0.5000
0.0000 0.0000 0.0000
```

***

[8]
The following is a DFT calculation (GGA-PBEsol) of a relaxed La3IrI3 crystal.

Computed properties:
Total DFT energy (no corrections) = -5.681 eV per atom
Crystal system = cubic
SG = No. 214
Spin magnetization = 0.00 μB per formula unit
Fermi-level density of states = 13.9 states/eV per cell

POSCAR file:
```
La3IrI3
1.0
-2.3512 9.0371 -5.3058
-2.9496 -8.4814 -5.8920
-5.2718 -0.1330 9.3563
La Ir I
12 4 12
direct
0.5393 0.7696 0.0196
0.2500 0.5196 0.4804
0.2500 0.7304 0.2696
0.7696 0.2500 0.2304
0.7304 0.9607 0.4804
0.9607 0.9804 0.2304
0.9804 0.2500 0.0196
0.5196 0.5393 0.2696
0.5196 0.9804 0.7500
0.9804 0.7304 0.4607
0.7304 0.7696 0.7500
0.7696 0.5196 0.0393
0.7500 0.0000 0.0000
0.5000 0.7500 0.5000
0.0000 0.5000 0.2500
0.7500 0.7500 0.2500
0.7500 0.4877 0.5123
0.4755 0.2377 0.9877
0.0245 0.0123 0.7623
0.2623 0.0245 0.5123
0.0123 0.7500 0.9877
0.7500 0.2623 0.7377
0.2377 0.7500 0.7623
0.4877 0.4755 0.7377
0.2377 0.4877 0.9755
0.2623 0.2377 0.2500
0.0123 0.2623 0.5245
0.4877 0.0123 0.2500
```

***

[9]
The following is a DFT calculation (GGA-PBEsol) of a relaxed LaIr2I crystal.

Computed properties:
Total DFT energy (no corrections) = -6.382 eV per atom
Crystal system = tetragonal
SG = No. 122
Spin magnetization = 0.00 μB per formula unit
Fermi-level density of states = 4.4 states/eV per cell

POSCAR file:
```
LaIr2I
1.0
4.8645 0.0000 0.0000
0.0000 4.8645 0.0000
-2.4322 -2.4322 8.6490
I Ir La
2 4 2
direct
0.7500 0.2500 0.5000
0.5000 0.5000 0.0000
0.7129 0.3750 0.2500
0.5371 0.8750 0.2500
0.6250 0.4629 0.7500
0.1250 0.2871 0.7500
0.2500 0.7500 0.5000
0.0000 0.0000 0.0000
```

***

[10]
The following is a DFT calculation (GGA-PBEsol) of a relaxed LiIrI3 crystal.

Computed properties:
E above lowest polymorph = 0.000 eV per atom
Crystal system = cubic
SG = No. 221
Spin magnetization = 0.00 μB per formula unit
Fermi-level density of states = 7.7 states/eV per cell

POSCAR file:
```
LiIrI3
1.0
5.3954 0.0000 0.0000
0.0000 5.3954 0.0000
0.0000 0.0000 5.3954
I Ir Li
3 1 1
direct
0.0000 0.5000 0.0000
0.0000 0.0000 0.5000
0.5000 0.0000 0.0000
0.0000 0.0000 0.0000
0.5000 0.5000 0.5000
```

***

[11]
The following is a DFT calculation (GGA-PBEsol) of a relaxed Li2IrI crystal.

Computed properties:
Total DFT energy (no corrections) = -3.715 eV per atom
Crystal system = cubic
SG = No. 225
Spin magnetization = 0.00 μB per formula unit
Fermi-level density of states = 1.7 states/eV per cell

POSCAR file:
```
Li2IrI
1.0
4.4385 0.0000 0.0000
2.2192 3.8438 0.0000
2.2192 1.2813 3.6240
I Ir Li
1 1 2
direct
0.0000 0.0000 0.0000
0.5000 0.5000 0.5000
0.2500 0.2500 0.2500
0.7500 0.7500 0.7500
```

***

[12]
The following is a DFT calculation (GGA-PBEsol) of a relaxed LiIrI2N crystal.

Computed properties:
Total DFT energy (no corrections) = -4.839 eV per atom
Crystal system = tetragonal
SG = No. 123
Spin magnetization = 0.00 μB per formula unit
Fermi-level density of states = 2.0 states/eV per cell

POSCAR file:
```
LiIrI2N
1.0
3.7086 0.0000 0.0000
0.0000 5.6052 0.0000
0.0000 0.0000 5.6052
I Ir Li N
2 1 1 1
direct
0.0000 0.0000 0.5000
0.0000 0.5000 0.0000
0.0000 0.0000 0.0000
0.5000 0.5000 0.5000
0.5000 0.0000 0.0000
```

***

[13]
The following is a DFT calculation (GGA-PBEsol) of a relaxed SrLi2IrI crystal.

Computed properties:
Total DFT energy (no corrections) = -3.659 eV per atom
Crystal system = tetragonal
SG = No. 123
Spin magnetization = 0.00 μB per formula unit
Fermi-level density of states = 1.2 states/eV per cell

POSCAR file:
```
SrLi2IrI
1.0
-3.9727 2.7622 0.3301
-2.1427 -2.6713 -3.4343
-2.0590 -3.4341 3.9557
I Sr Ir Li
1 1 1 2
direct
0.5000 0.5000 0.5000
0.0000 0.0000 0.5000
0.0000 0.0000 0.0000
0.0000 0.5000 0.0000
0.5000 0.0000 0.0000
```

***

[14]
The following is a DFT calculation (GGA-PBEsol) of a relaxed MgSbIrI2 crystal.

Computed properties:
Total DFT energy (no corrections) = -3.626 eV per atom
Crystal system = tetragonal
SG = No. 123
Spin magnetization = 0.00 μB per formula unit
Fermi-level density of states = 2.7 states/eV per cell

POSCAR file:
```
MgSbIrI2
1.0
4.9550 0.0000 0.0000
0.0000 5.5403 0.0000
0.0000 0.0000 5.5403
I Sb Mg Ir
2 1 1 1
direct
0.0000 0.0000 0.5000
0.0000 0.5000 0.0000
0.5000 0.0000 0.0000
0.5000 0.5000 0.5000
0.0000 0.0000 0.0000
```

***

[15]
The following is a DFT calculation (GGA-PBEsol) of a relaxed MoIrI2N crystal.

Computed properties:
Total DFT energy (no corrections) = -5.669 eV per atom
Crystal system = tetragonal
SG = No. 123
Spin magnetization = 0.00 μB per formula unit
Fermi-level density of states = 5.1 states/eV per cell

POSCAR file:
```
MoIrI2N
1.0
3.6868 0.0000 0.0000
0.0000 5.3042 0.0000
0.0000 0.0000 5.3042
I Mo Ir N
2 1 1 1
direct
0.0000 0.0000 0.5000
0.0000 0.5000 0.0000
0.0000 0.0000 0.0000
0.5000 0.5000 0.5000
0.5000 0.0000 0.0000
```

***

[16]
The following is a DFT calculation (GGA-PBEsol) of a relaxed MoIrIO2 crystal.

Computed properties:
Total DFT energy (no corrections) = -6.256 eV per atom
Crystal system = tetragonal
SG = No. 123
Spin magnetization = 3.59 μB per formula unit
Fermi-level density of states = 3.1 states/eV per cell

POSCAR file:
```
MoIrIO2
1.0
3.7710 0.0000 0.0000
0.0000 3.7710 0.0000
0.0000 0.0000 7.3913
I Mo Ir O
1 1 1 2
direct
0.0000 0.0000 0.5000
0.5000 0.5000 0.5000
0.0000 0.0000 0.0000
0.0000 0.5000 0.0000
0.5000 0.0000 0.0000
```

***

[17]
The following is a DFT calculation (GGA-PBEsol) of a relaxed MoIrPt2I crystal.

Computed properties:
Total DFT energy (no corrections) = -5.199 eV per atom
Crystal system = tetragonal
SG = No. 123
Spin magnetization = 2.32 μB per formula unit
Fermi-level density of states = 7.1 states/eV per cell

POSCAR file:
```
MoIrPt2I
1.0
-3.8592 -0.9231 2.6322
2.3743 -3.4454 2.2728
1.4885 3.2072 3.3069
I Mo Ir Pt
1 1 1 2
direct
0.0000 0.0000 0.0000
0.0000 0.0000 0.5000
0.5000 0.5000 0.5000
0.0000 0.5000 0.0000
0.5000 0.0000 0.0000
```

***

[18]
The following is a DFT calculation (GGA-PBEsol) of a relaxed Ir2IN2 crystal.

Computed properties:
Total DFT energy (no corrections) = -6.733 eV per atom
Crystal system = tetragonal
SG = No. 139
Spin magnetization = 0.00 μB per formula unit
Fermi-level density of states = 2.4 states/eV per cell

POSCAR file:
```
Ir2IN2
1.0
-2.1025 1.6851 -2.4381
-2.3328 -2.7848 0.0869
-1.5432 3.8731 6.7156
I Ir N
1 2 2
direct
0.0000 0.0000 0.0000
0.2500 0.7500 0.5000
0.7500 0.2500 0.5000
0.3180 0.3180 0.6361
0.6820 0.6820 0.3639
```

***

[19]
The following is a DFT calculation (GGA-PBEsol) of a relaxed NaIrIN2 crystal.

Computed properties:
Total DFT energy (no corrections) = -3.454 eV per atom
Crystal system = tetragonal
SG = No. 123
Spin magnetization = 6.33 μB per formula unit
Fermi-level density of states = 3.8 states/eV per cell

POSCAR file:
```
NaIrIN2
1.0
-1.5094 3.8008 -0.4236
0.0743 -0.4261 -4.0886
-5.4479 -2.1495 0.1250
I Na Ir N
1 1 1 2
direct
0.0000 0.0000 0.5000
0.0000 0.0000 0.0000
0.5000 0.5000 0.5000
0.0000 0.5000 0.0000
0.5000 0.0000 0.0000
```

***

[20]
The following is a DFT calculation (GGA-PBEsol) of a relaxed NbIrIN2 crystal.

Computed properties:
Total DFT energy (no corrections) = -6.822 eV per atom
Crystal system = tetragonal
SG = No. 123
Spin magnetization = 1.40 μB per formula unit
Fermi-level density of states = 4.4 states/eV per cell

POSCAR file:
```
NbIrIN2
1.0
-2.8912 1.4173 2.2641
1.7636 -1.4930 3.1866
3.0109 5.0352 0.6929
I Nb Ir N
1 1 1 2
direct
0.0000 0.0000 0.5000
0.0000 0.0000 0.0000
0.5000 0.5000 0.5000
0.0000 0.5000 0.0000
0.5000 0.0000 0.0000
```